A plane-wave DFT calculation with PBE was carried out for ScTa2Co after structural relaxation.

Calculated values
As for the space-group type: P2/m, No. 10.

abc: 2.9266 4.5401 5.2605
angles: 90.00 102.98 90.00
Closest atoms and distances in Å follow each position.
Element x y z (fractional)
Sc1 0.0000 0.0000 0.0000  2 Co 2.71, 4 Ta 2.89, 2 Sc 2.93
Ta1 0.2933 0.5000 0.7374  5 Ta 2.69-3.01, 2 Co 2.72, 2 Sc 2.89
Ta2 0.7067 0.5000 0.2626  5 Ta 2.69-3.01, 2 Co 2.72, 2 Sc 2.89
Co1 0.5000 0.0000 0.5000  2 Sc 2.71, 4 Ta 2.72, 2 Co 2.93

A plane-wave DFT calculation with PBE was carried out for FeRe2Hg after structural relaxation.

Calculated values
As for the space-group type: C2/m, No. 12.

abc: 5.0237 5.0237 4.7090
angles: 103.35 103.35 32.37
Closest atoms and distances in Å follow each position.
Element x y z (fractional)
Fe1 0.0000 0.0000 0.0000  4 Re 2.62, 4 Hg 2.74, 2 Fe 2.80
Re1 0.2702 0.2702 0.7723  2 Fe 2.62, 6 Re 2.67-2.86, 1 Hg 2.82
Re2 0.7298 0.7298 0.2277  2 Fe 2.62, 6 Re 2.67-2.86, 1 Hg 2.82
Hg1 0.5000 0.5000 0.5000  4 Fe 2.74, 2 Hg 2.80, 6 Re 2.82-2.97

A plane-wave DFT calculation with PBE was carried out for Hf2SiAsF after structural relaxation.

Calculated values
As for the space-group type: P4/mmm, No. 123. The value obtained for the energy relative to the elements, uncorrected is 0.411 eV/atom.

abc: 4.9991 4.9991 4.5893
angles: 90.00 90.00 90.00
Closest atoms and distances in Å follow each position.
Element x y z (fractional)
Hf1 0.0000 0.5000 0.0000  2 As 2.50
Hf2 0.5000 0.0000 0.0000  2 As 2.50
Si1 0.0000 0.0000 0.5000  2 As 2.29
As1 0.0000 0.0000 0.0000  2 Si 2.29, 4 Hf 2.50
F1 0.5000 0.5000 0.5000  8 Hf 3.39, 4 Si 3.53

A plane-wave DFT calculation with PBE was carried out for InPt2Au after structural relaxation.

Calculated values
As for the space-group type: I-42d, No. 122.

abc: 7.3514 7.3514 7.3514
angles: 131.43 131.43 71.12
Closest atoms and distances in Å follow each position.
Element x y z (fractional)
In1 0.0000 0.0000 0.0000  4 Pt 2.62
In2 0.7500 0.2500 0.5000  4 Pt 2.62
Pt1 0.1289 0.6250 0.0039  2 Au 2.59, 2 In 2.62
Pt2 0.3750 0.3789 0.5039  2 Au 2.59, 2 In 2.62
Pt3 0.6211 0.1250 0.9961  2 Au 2.59, 2 In 2.62
Pt4 0.8750 0.8711 0.4961  2 Au 2.59, 2 In 2.62
Au1 0.2500 0.7500 0.5000  4 Pt 2.59
Au2 0.5000 0.5000 0.0000  4 Pt 2.59

A plane-wave DFT calculation with PBE was carried out for TbSc2Sb3 after structural relaxation.

Calculated values
As for the space-group type: I4/mmm, No. 139. The value obtained for the energy relative to the elements, uncorrected is -0.984 eV/atom.

abc: 9.4783 9.4783 9.4783
angles: 154.03 154.03 37.06
Closest atoms and distances in Å follow each position.
Element x y z (fractional)
Tb1 0.0000 0.0000 0.0000  6 Sb 3.01-3.08
Sc1 0.3343 0.3343 0.0000  6 Sb 2.93-3.01
Sc2 0.6657 0.6657 0.0000  6 Sb 2.93-3.01
Sb1 0.1713 0.1713 0.0000  5 Sc 2.93-3.01, 1 Tb 3.08
Sb2 0.5000 0.5000 0.0000  2 Sc 2.98, 4 Tb 3.01
Sb3 0.8287 0.8287 0.0000  5 Sc 2.93-3.01, 1 Tb 3.08

A plane-wave DFT calculation with PBE was carried out for KTc2Ru after structural relaxation.

Calculated values
As for the space-group type: Cmmm, No. 65.

abc: 5.6216 5.6216 2.5520
angles: 90.00 90.00 122.03
Closest atoms and distances in Å follow each position.
Element x y z (fractional)
K1 0.0000 0.0000 0.0000  2 K 2.55, 2 Ru 2.72
Tc1 0.0000 0.5000 0.5000  4 Tc 2.55-2.72
Tc2 0.5000 0.0000 0.5000  4 Tc 2.55-2.72
Ru1 0.5000 0.5000 0.0000  2 Ru 2.55, 2 K 2.72

A plane-wave DFT calculation with PBE was carried out for LaNbI2 after structural relaxation.

Calculated values
As for the space-group type: I-42d, No. 122. The value obtained for the energy relative to the elements, uncorrected is 0.131 eV/atom.

abc: 10.2946 10.2946 10.2946
angles: 150.68 150.68 41.94
Closest atoms and distances in Å follow each position.
Element x y z (fractional)
La1 0.0000 0.0000 0.0000  4 I 3.11
La2 0.7500 0.2500 0.5000  4 I 3.11
Nb1 0.2500 0.7500 0.5000  4 I 2.96
Nb2 0.5000 0.5000 0.0000  4 I 2.96
I1 0.1591 0.6250 0.0341  2 Nb 2.96, 2 La 3.11
I2 0.3750 0.4091 0.5341  2 Nb 2.96, 2 La 3.11
I3 0.5909 0.1250 0.9659  2 Nb 2.96, 2 La 3.11
I4 0.8750 0.8409 0.4659  2 Nb 2.96, 2 La 3.11

A plane-wave DFT calculation with PBE was carried out for La4Ag2Hg5 after structural relaxation.

Calculated values
As for the space-group type: P2/m, No. 10.

abc: 8.3134 3.7325 9.9921
angles: 90.00 93.92 90.00
Closest atoms and distances in Å follow each position.
Element x y z (fractional)
La1 0.2114 0.0000 0.1430  8 Hg 3.25-3.43, 2 Ag 3.28
La2 0.2568 0.0000 0.6159  6 Hg 3.29-3.50, 4 Ag 3.29-3.33
La3 0.7432 0.0000 0.3841  6 Hg 3.29-3.50, 4 Ag 3.29-3.33
La4 0.7886 0.0000 0.8570  8 Hg 3.25-3.43, 2 Ag 3.28
Ag1 0.0684 0.5000 0.3774  1 Ag 2.77, 2 Hg 2.91-2.92
Ag2 0.9316 0.5000 0.6226  1 Ag 2.77, 2 Hg 2.91-2.92
Hg1 0.1308 0.5000 0.8754  1 Ag 2.92, 1 Hg 3.23
Hg2 0.4167 0.5000 0.3595  1 Ag 2.91, 1 Hg 3.05, 2 La 3.25
Hg3 0.5000 0.5000 0.0000  2 Hg 3.23, 4 La 3.43
Hg4 0.5833 0.5000 0.6405  1 Ag 2.91, 1 Hg 3.05, 2 La 3.25
Hg5 0.8692 0.5000 0.1246  1 Ag 2.92, 1 Hg 3.23

| no. | total energy (eV/atom) |
| --- | --- |
| 1 | -9.16 |
| 2 | -7.88 |
| 3 | -5.96 |
| 4 | -3.98 |
| 5 | -5.93 |
| 6 | -6.38 |
| 7 | -4.39 |
| 8 | -2.84 |